Model a:
Compound: MgCrRu
Source: Alexandria via LeMat-Bulk
Functional: GGA-PBE
Structure: optimized geometry

V = 17.6 Å³/atom
M_tot = 0.00 μB per formula unit
Fermi-level density of states = 1.127 states/eV/atom

a b c (Å): 4.226 4.226 5.917
angles (deg): 90.00 90.00 90.00
Space group P4/nmm (No. 129, origin choice 2)
Symmetry-distinct sites (fractional):
Mg 0.250 0.750 0.000 [2 per cell]
Cr 0.250 0.750 0.500 [2 per cell]
Ru 0.250 0.250 0.320 [2 per cell]



Model b:
Compound: MgCrRu
Source: Alexandria via LeMat-Bulk
Functional: GGA-PBE
Structure: optimized geometry

V = 14.3 Å³/atom
M_tot = 0.00 μB per formula unit
Fermi-level density of states = 1.159 states/eV/atom

a b c (Å): 4.2068 4.2068 2.7981
angles (deg): 90.00 90.00 120.00
Space group P3m1 (No. 156)
Symmetry-distinct sites (fractional):
Mg 0.0000 0.0000 0.0000 [1 per cell]
Cr 0.6667 0.3333 0.5997 [1 per cell]
Ru 0.3333 0.6667 0.4094 [1 per cell]



Model c:
Compound: MgCrRu
Source: Alexandria via LeMat-Bulk
Functional: GGA-PBE
Structure: optimized geometry

V = 14.6 Å³/atom
M_tot = 0.22 μB per formula unit
Fermi-level density of states = 1.477 states/eV/atom

a b c (Å): 2.959 4.484 13.222
angles (deg): 90.00 90.00 90.00
Space group Fmm2 (No. 42)
Symmetry-distinct sites (fractional):
Mg 0.000 0.000 0.000 [4 per cell]
Cr 0.000 0.000 0.677 [4 per cell]
Ru 0.000 0.000 0.324 [4 per cell]



Stability, descending: model b, model c, model a



Model a:
Compound: MgCr2S
Source: Alexandria via LeMat-Bulk
Functional: GGA-PBE
Structure: optimized geometry

V = 13.9 Å³/atom
M_tot = 4.68 μB per formula unit
Fermi-level density of states = 0.550 states/eV/atom

a b c (Å): 6.055 6.055 6.055
angles (deg): 90.00 90.00 90.00
Space group Fm-3m (No. 225)
Symmetry-distinct sites (fractional):
Mg 0.000 0.000 0.000 [4 per cell]
Cr 0.250 0.250 0.250 [8 per cell]
S 0.000 0.000 0.500 [4 per cell]



Model b:
Compound: MgCr2S
Source: Alexandria via LeMat-Bulk
Functional: GGA-PBE
Structure: optimized geometry

V = 14.4 Å³/atom
M_tot = 0.00 μB per formula unit
Fermi-level density of states = 0.833 states/eV/atom

a b c (Å): 3.598 3.598 17.818
angles (deg): 90.00 90.00 90.00
Space group I-42d (No. 122)
Symmetry-distinct sites (fractional):
Mg 0.000 0.000 0.000 [4 per cell]
Cr 0.178 0.250 0.625 [8 per cell]
S 0.000 0.000 0.500 [4 per cell]



Stability, descending: model b, model a



Model a:
Compound: Mg2Cr2S
Source: Alexandria via LeMat-Bulk
Functional: GGA-PBE
Structure: optimized geometry

V = 18.4 Å³/atom
M_tot = 0.00 μB per formula unit
Fermi-level density of states = 0.633 states/eV/atom

a b c (Å): 7.259 7.259 3.492
angles (deg): 90.00 90.00 90.00
Space group P4/mbm (No. 127)
Symmetry-distinct sites (fractional):
Mg 0.196 0.304 0.000 [4 per cell]
Cr 0.089 0.589 0.500 [4 per cell]
S 0.000 0.000 0.000 [2 per cell]



Model b:
Compound: Mg2Cr2S
Source: Alexandria via LeMat-Bulk
Functional: GGA-PBE
Structure: optimized geometry

V = 16.5 Å³/atom
M_tot = 0.00 μB per formula unit
Fermi-level density of states = 0.893 states/eV/atom

a b c (Å): 3.215 3.215 15.983
angles (deg): 90.00 90.00 90.00
Space group I4/mmm (No. 139)
Symmetry-distinct sites (fractional):
Mg 0.000 0.000 0.096 [4 per cell]
Cr 0.000 0.500 0.250 [4 per cell]
S 0.000 0.000 0.500 [2 per cell]



Stability, descending: model b, model a